(1)
DFT (PBE-GGA) results for crystalline KNaIn at its relaxed geometry.

abc: 6.402 5.428 7.085
angles: 90.00 114.48 90.00
Element x y z (fractional)
K1 0.000 0.000 0.000
K2 0.443 0.500 0.992
Na1 0.649 0.500 0.581
Na2 0.792 0.000 0.410
In1 0.091 0.500 0.413
In2 0.350 0.000 0.579

Properties
Volume ... 37.35 Å³/atom
Density of states at the Fermi level ... 1.519 states/eV/f.u.
Relative energy among the computed polymorphs ... 0.0 meV per atom
VASP energy ... -1.78 eV per atom



(2)
DFT (PBE-GGA) results for crystalline Li3MgAs at its relaxed geometry.

abc: 4.875 4.875 4.875
angles: 90.00 90.00 90.00
Element x y z (fractional)
Li1 0.000 0.000 0.500
Li2 0.000 0.500 0.000
Li3 0.500 0.000 0.000
Mg1 0.500 0.500 0.500
As1 0.000 0.000 0.000

Properties
Volume ... 23.17 Å³/atom
Density of states at the Fermi level ... 0.403 states/eV/f.u.
Relative energy among the computed polymorphs ... 0.0 meV per atom
VASP energy ... -2.64 eV per atom



(3)
DFT (PBE-GGA) results for crystalline AcY2Pd at its relaxed geometry.

abc: 3.633 3.633 9.034
angles: 90.00 90.00 90.00
Element x y z (fractional)
Ac1 0.000 0.000 0.000
Y1 0.500 0.500 0.317
Y2 0.500 0.500 0.683
Pd1 0.000 0.000 0.500

Properties
Volume ... 29.81 Å³/atom
Density of states at the Fermi level ... 3.740 states/eV/f.u.
Relative energy among the computed polymorphs ... 43.5 meV per atom
VASP energy ... -5.95 eV per atom



(4)
DFT (PBE-GGA) results for crystalline MgIrRhW at its relaxed geometry.

abc: 4.421 4.421 4.421
angles: 60.00 60.00 60.00
Element x y z (fractional)
Mg1 0.000 0.000 0.000
Ir1 0.250 0.250 0.250
Rh1 0.750 0.750 0.750
W1 0.500 0.500 0.500

Properties
Volume ... 15.28 Å³/atom
Density of states at the Fermi level ... 5.118 states/eV/f.u.
VASP energy ... -7.85 eV per atom



(5)
DFT (PBE-GGA) results for crystalline PRuPb at its relaxed geometry.

abc: 4.396 4.396 4.396
angles: 60.00 60.00 60.00
Element x y z (fractional)
P1 0.000 0.000 0.000
Ru1 0.750 0.750 0.750
Pb1 0.500 0.500 0.500

Properties
Volume ... 20.03 Å³/atom
Density of states at the Fermi level ... 3.791 states/eV/f.u.
VASP energy ... -5.76 eV per atom



(6)
DFT (PBE-GGA) results for crystalline Rb3Np3UTe8 at its relaxed geometry.

abc: 10.141 10.141 10.141
angles: 52.84 52.84 52.84
Element x y z (fractional)
Rb1 0.000 0.500 0.500
Rb2 0.500 0.000 0.500
Rb3 0.500 0.500 0.000
Np1 0.000 0.000 0.500
Np2 0.000 0.500 0.000
Np3 0.500 0.000 0.000
U1 0.500 0.500 0.500
Te1 0.233 0.233 0.233
Te2 0.234 0.731 0.731
Te3 0.269 0.269 0.766
Te4 0.269 0.766 0.269
Te5 0.731 0.234 0.731
Te6 0.731 0.731 0.234
Te7 0.766 0.269 0.269
Te8 0.767 0.767 0.767

Properties
Formation energy from raw total energies ... -842 meV/atom
Volume ... 40.90 Å³/atom
Density of states at the Fermi level ... 33.222 states/eV/f.u.
VASP energy ... -6.05 eV per atom



(7)
DFT (PBE-GGA) results for crystalline AlPb2Br8 at its relaxed geometry.

abc: 6.916 7.285 8.815
angles: 72.51 89.86 80.50
Element x y z (fractional)
Al1 0.000 0.000 0.000
Pb1 0.498 0.009 0.736
Pb2 0.502 0.991 0.264
Br1 0.101 0.227 0.747
Br2 0.103 0.210 0.155
Br3 0.332 0.771 0.052
Br4 0.414 0.737 0.572
Br5 0.586 0.263 0.428
Br6 0.668 0.229 0.948
Br7 0.897 0.790 0.845
Br8 0.899 0.773 0.253

Properties
Formation energy from raw total energies ... -829 meV/atom
Volume ... 37.93 Å³/atom
Density of states at the Fermi level ... 7.771 states/eV/f.u.
VASP energy ... -3.06 eV per atom



(8)
DFT (PBE-GGA) results for crystalline LaAgTe2 at its relaxed geometry.

abc: 5.528 5.528 5.528
angles: 127.23 114.96 88.46
Element x y z (fractional)
La1 0.000 0.000 0.000
Ag1 0.500 0.500 0.000
Te1 0.275 0.775 0.500
Te2 0.725 0.225 0.500

Properties
Formation energy from raw total energies ... -855 meV/atom
Volume ... 28.92 Å³/atom
VASP energy ... -4.37 eV per atom



(9)
DFT (PBE-GGA) results for crystalline PuTlZnO6 at its relaxed geometry.

abc: 5.368 5.368 9.771
angles: 90.00 90.00 120.00
Element x y z (fractional)
Pu1 0.333 0.667 0.250
Pu2 0.667 0.333 0.750
Tl1 0.000 0.000 0.000
Tl2 0.000 0.000 0.500
Zn1 0.333 0.667 0.750
Zn2 0.667 0.333 0.250
O1 0.015 0.358 0.135
O2 0.015 0.657 0.365
O3 0.343 0.358 0.365
O4 0.343 0.985 0.135
O5 0.358 0.015 0.635
O6 0.358 0.343 0.865
O7 0.642 0.657 0.135
O8 0.642 0.985 0.365
O9 0.657 0.015 0.865
O10 0.657 0.642 0.635
O11 0.985 0.343 0.635
O12 0.985 0.642 0.865

Properties
Formation energy from raw total energies ... -1548 meV/atom
Volume ... 13.54 Å³/atom
Density of states at the Fermi level ... 1.686 states/eV/f.u.
VASP energy ... -6.85 eV per atom



(10)
DFT (PBE-GGA) results for crystalline HfSi2Pd at its relaxed geometry.

abc: 4.132 4.132 3.675
angles: 90.00 90.00 90.00
Element x y z (fractional)
Hf1 0.000 0.000 0.000
Si1 0.000 0.500 0.500
Si2 0.500 0.000 0.500
Pd1 0.500 0.500 0.000

Properties
Formation energy from raw total energies ... -503 meV/atom
Volume ... 15.69 Å³/atom
Density of states at the Fermi level ... 1.398 states/eV/f.u.
VASP energy ... -7.00 eV per atom



(11)
DFT (PBE-GGA) results for crystalline LiLaHg4 at its relaxed geometry.

abc: 4.772 4.772 7.393
angles: 90.00 90.00 90.00
Element x y z (fractional)
Li1 0.000 0.000 0.000
La1 0.500 0.500 0.500
Hg1 0.000 0.500 0.205
Hg2 0.000 0.500 0.795
Hg3 0.500 0.000 0.205
Hg4 0.500 0.000 0.795

Properties
Volume ... 28.05 Å³/atom
Density of states at the Fermi level ... 4.171 states/eV/f.u.
Relative energy among the computed polymorphs ... 148.1 meV per atom
VASP energy ... -1.55 eV per atom



(12)
DFT (PBE-GGA) results for crystalline SmMg9Cu2 at its relaxed geometry.

abc: 9.100 9.100 9.100
angles: 99.66 99.66 131.64
Element x y z (fractional)
Sm1 0.375 0.625 0.750
Sm2 0.625 0.375 0.250
Mg1 0.125 0.875 0.250
Mg2 0.133 0.564 0.326
Mg3 0.133 0.808 0.569
Mg4 0.192 0.262 0.326
Mg5 0.192 0.867 0.931
Mg6 0.262 0.192 0.826
Mg7 0.262 0.436 0.069
Mg8 0.436 0.262 0.569
Mg9 0.436 0.867 0.174
Mg10 0.564 0.133 0.826
Mg11 0.564 0.738 0.431
Mg12 0.738 0.564 0.931
Mg13 0.738 0.808 0.174
Mg14 0.808 0.133 0.069
Mg15 0.808 0.738 0.674
Mg16 0.867 0.192 0.431
Mg17 0.867 0.436 0.674
Mg18 0.875 0.125 0.750
Cu1 0.000 0.000 0.000
Cu2 0.000 0.000 0.500
Cu3 0.000 0.500 0.000
Cu4 0.500 0.000 0.500

Properties
Volume ... 21.41 Å³/atom
Density of states at the Fermi level ... 4.643 states/eV/f.u.
VASP energy ... -2.33 eV per atom



(13)
DFT (PBE-GGA) results for crystalline Mg2Zn2Pb at its relaxed geometry.

abc: 7.960 7.960 3.319
angles: 90.00 90.00 90.00
Element x y z (fractional)
Mg1 0.178 0.322 0.000
Mg2 0.322 0.822 0.000
Mg3 0.678 0.178 0.000
Mg4 0.822 0.678 0.000
Zn1 0.115 0.615 0.500
Zn2 0.385 0.115 0.500
Zn3 0.615 0.885 0.500
Zn4 0.885 0.385 0.500
Pb1 0.000 0.000 0.500
Pb2 0.500 0.500 0.500

Properties
Volume ... 21.03 Å³/atom
Density of states at the Fermi level ... 1.458 states/eV/f.u.
Relative energy among the computed polymorphs ... 0.0 meV per atom
VASP energy ... -1.92 eV per atom



(14)
DFT (PBE-GGA) results for crystalline Lu2C3N6 at its relaxed geometry.

abc: 10.496 10.496 10.496
angles: 34.93 34.93 34.93
Element x y z (fractional)
Lu1 0.164 0.164 0.164
Lu2 0.336 0.336 0.336
Lu3 0.664 0.664 0.664
Lu4 0.836 0.836 0.836
C1 0.047 0.750 0.453
C2 0.250 0.547 0.953
C3 0.453 0.047 0.750
C4 0.547 0.953 0.250
C5 0.750 0.453 0.047
C6 0.953 0.250 0.547
N1 0.040 0.638 0.454
N2 0.046 0.862 0.460
N3 0.138 0.540 0.954
N4 0.362 0.546 0.960
N5 0.454 0.040 0.638
N6 0.460 0.046 0.862
N7 0.540 0.954 0.138
N8 0.546 0.960 0.362
N9 0.638 0.454 0.040
N10 0.862 0.460 0.046
N11 0.954 0.138 0.540
N12 0.960 0.362 0.546

Properties
Formation energy from raw total energies ... -841 meV/atom
Volume ... 15.38 Å³/atom
Density of states at the Fermi level ... 0.000 states/eV/f.u.
Relative energy among the computed polymorphs ... 0.0 meV per atom
VASP energy ... -8.72 eV per atom



(15)
DFT (PBE-GGA) results for crystalline Li17Ag12 at its relaxed geometry.

abc: 8.715 8.715 8.715
angles: 109.47 109.47 109.47
Element x y z (fractional)
Li1 0.000 0.000 0.000
Li2 0.000 0.000 0.654
Li3 0.000 0.421 0.692
Li4 0.000 0.654 0.000
Li5 0.000 0.692 0.421
Li6 0.271 0.579 0.579
Li7 0.308 0.308 0.729
Li8 0.308 0.729 0.308
Li9 0.346 0.346 0.346
Li10 0.421 0.000 0.692
Li11 0.421 0.692 0.000
Li12 0.579 0.271 0.579
Li13 0.579 0.579 0.271
Li14 0.654 0.000 0.000
Li15 0.692 0.000 0.421
Li16 0.692 0.421 0.000
Li17 0.729 0.308 0.308
Ag1 0.000 0.197 0.392
Ag2 0.000 0.392 0.197
Ag3 0.195 0.803 0.803
Ag4 0.197 0.000 0.392
Ag5 0.197 0.392 0.000
Ag6 0.392 0.000 0.197
Ag7 0.392 0.197 0.000
Ag8 0.608 0.608 0.805
Ag9 0.608 0.805 0.608
Ag10 0.803 0.195 0.803
Ag11 0.803 0.803 0.195
Ag12 0.805 0.608 0.608

Properties
Volume ... 17.57 Å³/atom
Density of states at the Fermi level ... 12.487 states/eV/f.u.
VASP energy ... -2.45 eV per atom



(16)
DFT (PBE-GGA) results for crystalline Li2RuBr at its relaxed geometry.

abc: 8.280 8.280 8.280
angles: 21.42 21.42 21.42
Element x y z (fractional)
Li1 0.244 0.244 0.244
Li2 0.756 0.756 0.756
Ru1 0.000 0.000 0.000
Br1 0.500 0.500 0.500

Properties
Formation energy from raw total energies ... -29 meV/atom
Volume ... 16.57 Å³/atom
Density of states at the Fermi level ... 3.579 states/eV/f.u.
Relative energy among the computed polymorphs ... 0.0 meV per atom
VASP energy ... -3.72 eV per atom



(17)
DFT (PBE-GGA) results for crystalline HoThPd at its relaxed geometry.

abc: 4.953 4.953 4.953
angles: 60.00 60.00 60.00
Element x y z (fractional)
Ho1 0.000 0.000 0.000
Th1 0.500 0.500 0.500
Pd1 0.250 0.250 0.250

Properties
Volume ... 28.64 Å³/atom
Density of states at the Fermi level ... 3.962 states/eV/f.u.
Relative energy among the computed polymorphs ... 178.1 meV per atom
VASP energy ... -6.03 eV per atom



(18)
DFT (PBE-GGA) results for crystalline SrGa3CuRh at its relaxed geometry.

abc: 6.954 6.954 6.275
angles: 90.00 90.00 124.14
Element x y z (fractional)
Sr1 0.245 0.755 0.750
Sr2 0.755 0.245 0.250
Ga1 0.200 0.200 0.000
Ga2 0.200 0.200 0.500
Ga3 0.312 0.688 0.250
Ga4 0.688 0.312 0.750
Ga5 0.800 0.800 0.000
Ga6 0.800 0.800 0.500
Cu1 0.122 0.878 0.250
Cu2 0.878 0.122 0.750
Rh1 0.499 0.501 0.750
Rh2 0.501 0.499 0.250

Properties
Volume ... 20.93 Å³/atom
Density of states at the Fermi level ... 1.772 states/eV/f.u.
VASP energy ... -4.02 eV per atom



(19)
DFT (PBE-GGA) results for crystalline RbBaPb at its relaxed geometry.

abc: 8.848 8.848 8.848
angles: 151.22 151.22 41.16
Element x y z (fractional)
Rb1 0.000 0.000 0.000
Ba1 0.746 0.746 0.000
Pb1 0.358 0.358 0.000

Properties
Volume ... 53.40 Å³/atom
Density of states at the Fermi level ... 1.760 states/eV/f.u.
Relative energy among the computed polymorphs ... 0.0 meV per atom
VASP energy ... -2.40 eV per atom



(20)
DFT (PBE-GGA) results for crystalline Tb2Pr5Tm6 at its relaxed geometry.

abc: 11.641 20.554 3.599
angles: 90.00 90.00 90.00
Element x y z (fractional)
Tb1 0.173 0.212 0.000
Tb2 0.327 0.712 0.000
Tb3 0.673 0.288 0.000
Tb4 0.827 0.788 0.000
Pr1 0.000 0.500 0.500
Pr2 0.082 0.773 0.500
Pr3 0.199 0.050 0.500
Pr4 0.301 0.550 0.500
Pr5 0.418 0.273 0.500
Pr6 0.500 0.000 0.500
Pr7 0.582 0.727 0.500
Pr8 0.699 0.450 0.500
Pr9 0.801 0.950 0.500
Pr10 0.918 0.227 0.500
Tm1 0.063 0.919 0.000
Tm2 0.079 0.632 0.000
Tm3 0.177 0.363 0.500
Tm4 0.323 0.863 0.500
Tm5 0.421 0.132 0.000
Tm6 0.437 0.419 0.000
Tm7 0.563 0.581 0.000
Tm8 0.579 0.868 0.000
Tm9 0.677 0.137 0.500
Tm10 0.823 0.637 0.500
Tm11 0.921 0.368 0.000
Tm12 0.937 0.081 0.000

Properties
Volume ... 33.13 Å³/atom
Density of states at the Fermi level ... 15.962 states/eV/f.u.
VASP energy ... -4.52 eV per atom



(21)
DFT (PBE-GGA) results for crystalline KPm2Pr3Te6 at its relaxed geometry.

abc: 10.190 10.190 9.211
angles: 103.10 103.10 25.62
Element x y z (fractional)
K1 0.000 0.000 0.000
Pm1 0.332 0.332 0.658
Pm2 0.668 0.668 0.342
Pr1 0.000 0.000 0.500
Pr2 0.339 0.339 0.179
Pr3 0.661 0.661 0.821
Te1 0.167 0.167 0.581
Te2 0.172 0.172 0.088
Te3 0.496 0.496 0.740
Te4 0.504 0.504 0.260
Te5 0.828 0.828 0.912
Te6 0.833 0.833 0.419

Properties
Formation energy from raw total energies ... -1404 meV/atom
Volume ... 33.52 Å³/atom
Density of states at the Fermi level ... 4.982 states/eV/f.u.
VASP energy ... -5.05 eV per atom



(22)
DFT (PBE-GGA) results for crystalline ZrAg2Pb at its relaxed geometry.

abc: 10.300 10.300 10.300
angles: 17.86 17.86 17.86
Element x y z (fractional)
Zr1 0.000 0.000 0.000
Ag1 0.254 0.254 0.254
Ag2 0.746 0.746 0.746
Pb1 0.500 0.500 0.500

Properties
Volume ... 22.44 Å³/atom
Density of states at the Fermi level ... 3.155 states/eV/f.u.
VASP energy ... -4.39 eV per atom